[1]
This record from Alexandria describes an optimized crystal structure of ErTm4Sc2. The functional is PBE.

Cell: 5.7782 8.1770 9.2391 Å, 88.60 76.40 71.74°
Positions (direct):
Er  0.0000  0.0000  0.0000
Er  0.4265  0.1274  0.3051
Tm  0.0478  0.9055  0.3491
Tm  0.4510  0.2287  0.9346
Tm  0.5724  0.7813  0.0626
Tm  0.6106  0.7104  0.4336
Tm  0.7249  0.2752  0.5570
Tm  0.7393  0.3800  0.1926
Tm  0.8282  0.8531  0.7044
Tm  0.9300  0.4352  0.8257
Sc  0.1378  0.5859  0.1341
Sc  0.1850  0.5015  0.4774
Sc  0.2662  0.0565  0.6545
Sc  0.3647  0.6433  0.7858

DFT formation energy = 87 meV per atom
total magnetic moment = 0.0 Bohr magnetons per cell
DOS at the Fermi energy = 24.2 states/eV/cell
space-group type = No. 1

---

[2]
This record from Alexandria describes an optimized crystal structure of La2SmEr7. The functional is PBE.

Cell: 6.1694 7.1377 7.9768 Å, 77.35 75.00 73.56°
Positions (direct):
La  0.1994  0.2990  0.1017
La  0.8006  0.7010  0.8983
Sm  0.0000  0.0000  0.5000
Er  0.0000  0.5000  0.5000
Er  0.1986  0.7997  0.1027
Er  0.3988  0.1014  0.6963
Er  0.3998  0.6006  0.6970
Er  0.6002  0.3994  0.3030
Er  0.6012  0.8986  0.3037
Er  0.8014  0.2003  0.8973

DFT formation energy = 29 meV per atom
total magnetic moment = 0.0 Bohr magnetons per cell
DOS at the Fermi energy = 14.6 states/eV/cell
space-group type = No. 2

---

[3]
This record from Alexandria describes an optimized crystal structure of Ac2Pr6Nd. The functional is PBE.

Cell: 9.4368 9.4368 9.4111 Å, 112.81 112.81 66.59°
Positions (direct):
Ac  0.0072  0.1754  0.1752
Ac  0.1754  0.0072  0.6752
Ac  0.8246  0.9928  0.3248
Ac  0.9928  0.8246  0.8248
Pr  0.0866  0.5829  0.4178
Pr  0.1719  0.3477  0.0096
Pr  0.3423  0.4938  0.8336
Pr  0.3477  0.1719  0.5096
Pr  0.4171  0.9134  0.0822
Pr  0.4938  0.3423  0.3336
Pr  0.5062  0.6577  0.6664
Pr  0.5829  0.0866  0.9178
Pr  0.6523  0.8281  0.4904
Pr  0.6577  0.5062  0.1664
Pr  0.8281  0.6523  0.9904
Pr  0.9134  0.4171  0.5822
Nd  0.2518  0.7482  0.2500
Nd  0.7482  0.2518  0.7500

DFT formation energy = 72 meV per atom
total magnetic moment = 0.0 Bohr magnetons per cell
DOS at the Fermi energy = 26.0 states/eV/cell
space-group type = No. 15

---

[4]
This record from Alexandria describes an optimized crystal structure of Sr3Te. The functional is PBE.

Cell: 7.0473 7.0473 7.0473 Å, 116.16 116.16 116.16°
Positions (direct):
Sr  0.0000  0.5000  0.5000
Sr  0.5000  0.0000  0.5000
Sr  0.5000  0.5000  0.0000
Te  0.0000  0.0000  0.0000

total magnetic moment = 0.0 Bohr magnetons per cell
DOS at the Fermi energy = 1.9 states/eV/cell
space-group type = No. 166
E_form (uncorrected) = -0.4505 eV per atom

---

E
In order: -4.9294 -4.6224 -4.5566 -2.4973
Unit: eV per atom